(1)
VASP calculation (GGA-PBE) on crystalline InGaAg2 at its relaxed geometry.

Output
Fermi-level density of states   0.30 states/eV per atom
Uncorrected energy   -2.8359 eV/atom
E_form   0.031 eV per atom
Mass density   8473 kg/m³

a = 3.1765 Å, b = 3.1765 Å, c = 9.2040 Å
α = 79.69°, β = 79.69°, γ = 59.68°
With the nearest neighbours (Å) after each atom.
Positions (direct):
In 0.4981 0.4981 0.4999  6 Ag 2.99-3.01, 6 In 3.16-3.18
Ga 0.6677 0.6677 0.0000  6 Ag 2.79-2.80
Ag 0.0789 0.0789 0.7647  3 Ga 2.79-2.80, 3 In 2.99-3.01
Ag 0.2553 0.2553 0.2354  3 Ga 2.80, 3 In 3.00-3.01

(2)
VASP calculation (GGA-PBE) on crystalline InGa4Ag5 at its relaxed geometry.

Output
Fermi-level density of states   0.39 states/eV per atom
Uncorrected energy   -2.8382 eV/atom
E_form   0.072 eV per atom
Mass density   7968 kg/m³

a = 3.0956 Å, b = 7.1922 Å, c = 9.2326 Å
α = 104.05°, β = 90.00°, γ = 102.43°
With the nearest neighbours (Å) after each atom.
Positions (direct):
In 0.5000 0.0000 0.0000  4 Ag 2.87, 4 Ga 2.92, 2 In 3.10
Ga 0.7816 0.5631 0.2767  1 Ga 2.63, 5 Ag 2.75-2.80
Ga 0.9637 0.9274 0.2495  1 Ga 2.63, 4 Ag 2.72-2.94, 2 In 2.92
Ga 0.2184 0.4369 0.7233  1 Ga 2.63, 5 Ag 2.75-2.80
Ga 0.0363 0.0726 0.7505  1 Ga 2.63, 4 Ag 2.72-2.94, 2 In 2.92
Ag 0.1616 0.3233 0.4104  4 Ga 2.79-2.81, 6 Ag 3.03-3.10
Ag 0.1772 0.3545 0.0457  3 Ga 2.75-2.94, 2 Ag 2.85, 2 In 2.87
Ag 0.8228 0.6455 0.9543  3 Ga 2.75-2.94, 2 Ag 2.85, 2 In 2.87
Ag 0.5000 0.0000 0.5000  4 Ga 2.72, 4 Ag 3.03
Ag 0.8384 0.6767 0.5896  4 Ga 2.79-2.81, 6 Ag 3.03-3.10

(3)
VASP calculation (GGA-PBE) on crystalline InGa11Ag at its relaxed geometry.

Output
Fermi-level density of states   0.38 states/eV per atom
Uncorrected energy   -2.9381 eV/atom
E_form   0.053 eV per atom
Mass density   6320 kg/m³

a = 5.8069 Å, b = 7.2729 Å, c = 7.3127 Å
α = 80.90°, β = 66.61°, γ = 66.54°
With the nearest neighbours (Å) after each atom.
Positions (direct):
In 0.0000 0.0000 0.0000  18 Ga 3.34-3.66, 2 Ag 3.64
Ga 0.2808 0.2129 0.2128  7 Ga 2.78-3.06, 1 Ag 2.81
Ga 0.7192 0.7871 0.7872  7 Ga 2.78-3.06, 1 Ag 2.81
Ga 0.5064 0.7871 0.2128  7 Ga 2.78-3.06, 1 Ag 2.81
Ga 0.4936 0.2129 0.7872  7 Ga 2.78-3.06, 1 Ag 2.81
Ga 0.3595 0.6495 0.6455  6 Ga 2.79-3.06, 1 Ag 2.94
Ga 0.6405 0.3505 0.3545  6 Ga 2.79-3.06, 1 Ag 2.94
Ga 0.9950 0.3505 0.6455  6 Ga 2.79-3.06, 1 Ag 2.94
Ga 0.0050 0.6495 0.3545  6 Ga 2.79-3.06, 1 Ag 2.94
Ga 0.0000 0.5000 0.0000  8 Ga 2.78-2.98, 2 Ag 2.90
Ga 0.5000 0.0000 0.5000  10 Ga 2.78-2.94
Ga 0.0000 0.0000 0.5000  10 Ga 2.78-2.94
Ag 0.5000 0.5000 0.0000  10 Ga 2.81-2.94

(4)
VASP calculation (GGA-PBE) on crystalline In2GaAg5 at its relaxed geometry.

Output
Fermi-level density of states   0.31 states/eV per atom
Uncorrected energy   -2.8388 eV/atom
E_form   0.006 eV per atom
Mass density   9044 kg/m³

a = 5.1126 Å, b = 12.3018 Å, c = 11.8210 Å
α = 90.00°, β = 124.05°, γ = 90.00°
With the nearest neighbours (Å) after each atom.
Positions (direct):
In 0.2556 0.5669 0.1257  8 Ag 2.91-3.04, 2 In 3.11-3.12, 1 Ga 3.16
In 0.7444 0.4331 0.8743  8 Ag 2.91-3.04, 2 In 3.11-3.12, 1 Ga 3.16
In 0.7556 0.9331 0.6257  8 Ag 2.91-3.04, 2 In 3.11-3.12, 1 Ga 3.16
In 0.2444 0.0669 0.3743  8 Ag 2.91-3.04, 2 In 3.11-3.12, 1 Ga 3.16
In 0.2548 0.0722 0.8758  9 Ag 2.92-3.27, 1 Ga 3.08, 2 In 3.12-3.13
In 0.7452 0.9278 0.1242  9 Ag 2.92-3.27, 1 Ga 3.08, 2 In 3.12-3.13
In 0.7547 0.4278 0.3757  9 Ag 2.92-3.27, 1 Ga 3.08, 2 In 3.12-3.13
In 0.2453 0.5722 0.6242  9 Ag 2.92-3.27, 1 Ga 3.08, 2 In 3.12-3.13
Ga 0.7452 0.7074 0.8725  9 Ag 2.82-3.10, 1 In 3.08
Ga 0.2548 0.2925 0.1275  9 Ag 2.82-3.10, 1 In 3.08
Ga 0.2451 0.7925 0.3725  9 Ag 2.82-3.10, 1 In 3.08
Ga 0.7549 0.2075 0.6275  9 Ag 2.82-3.10, 1 In 3.08
Ag 0.2510 0.8062 0.8753  2 Ga 2.82-2.84, 7 Ag 2.96-3.06, 2 In 2.99-3.03
Ag 0.7490 0.1938 0.1247  2 Ga 2.82-2.84, 7 Ag 2.96-3.06, 2 In 2.99-3.03
Ag 0.7509 0.6938 0.3753  2 Ga 2.82-2.84, 7 Ag 2.96-3.06, 2 In 2.99-3.03
Ag 0.2491 0.3062 0.6247  2 Ga 2.82-2.84, 7 Ag 2.96-3.06, 2 In 2.99-3.03
Ag 0.2500 0.5581 0.3738  1 Ga 2.88, 4 In 2.95-3.03, 7 Ag 2.99-3.06
Ag 0.7500 0.4419 0.6262  1 Ga 2.88, 4 In 2.95-3.03, 7 Ag 2.99-3.06
Ag 0.7500 0.9419 0.8738  1 Ga 2.88, 4 In 2.95-3.03, 7 Ag 2.99-3.06
Ag 0.2500 0.0581 0.1262  1 Ga 2.88, 4 In 2.95-3.03, 7 Ag 2.99-3.06
Ag 0.2504 0.8185 0.6229  3 In 2.91-3.03, 2 Ga 2.93-2.96, 7 Ag 2.97-3.05
Ag 0.7496 0.1815 0.3771  3 In 2.91-3.03, 2 Ga 2.93-2.96, 7 Ag 2.97-3.05
Ag 0.7504 0.6815 0.1229  3 In 2.91-3.03, 2 Ga 2.93-2.96, 7 Ag 2.97-3.05
Ag 0.2496 0.3185 0.8771  3 In 2.91-3.03, 2 Ga 2.93-2.96, 7 Ag 2.97-3.05
Ag 0.7471 0.6878 0.6255  3 In 2.92-3.02, 2 Ga 2.93-2.94, 7 Ag 2.97-3.06
Ag 0.2529 0.3122 0.3745  3 In 2.92-3.02, 2 Ga 2.93-2.94, 7 Ag 2.97-3.06
Ag 0.2471 0.8122 0.1255  3 In 2.92-3.02, 2 Ga 2.93-2.94, 7 Ag 2.97-3.06
Ag 0.7529 0.1878 0.8745  3 In 2.92-3.02, 2 Ga 2.93-2.94, 7 Ag 2.97-3.06
Ag 0.2534 0.0657 0.6249  4 In 2.94-3.04, 6 Ag 2.96-3.08, 2 Ga 3.09-3.10
Ag 0.7466 0.9343 0.3751  4 In 2.94-3.04, 6 Ag 2.96-3.08, 2 Ga 3.09-3.10
Ag 0.7534 0.4343 0.1249  4 In 2.94-3.04, 6 Ag 2.96-3.08, 2 Ga 3.09-3.10
Ag 0.2466 0.5657 0.8751  4 In 2.94-3.04, 6 Ag 2.96-3.08, 2 Ga 3.09-3.10

(5)
VASP calculation (GGA-PBE) on crystalline In4GaAg15 at its relaxed geometry.

Output
Fermi-level density of states   0.25 states/eV per atom
Uncorrected energy   -2.8556 eV/atom
E_form   -0.018 eV per atom
Mass density   9553 kg/m³

a = 4.1899 Å, b = 4.1899 Å, c = 21.2583 Å
α = 90.00°, β = 90.00°, γ = 90.00°
With the nearest neighbours (Å) after each atom.
Positions (direct):
In 0.0000 0.0000 0.1967  12 Ag 2.96-3.01
In 0.0000 0.0000 0.3985  12 Ag 2.96-3.01
In 0.0000 0.0000 0.6015  12 Ag 2.96-3.01
In 0.0000 0.0000 0.8033  12 Ag 2.96-3.01
Ga 0.0000 0.0000 0.0000  12 Ag 2.91-2.96
Ag 0.5000 0.5000 0.0000  8 Ag 2.91, 4 Ga 2.96
Ag 0.5000 0.5000 0.1957  4 In 2.96, 8 Ag 3.00-3.01
Ag 0.5000 0.5000 0.3990  4 In 2.96, 8 Ag 3.00-3.01
Ag 0.5000 0.5000 0.6010  4 In 2.96, 8 Ag 3.00-3.01
Ag 0.5000 0.5000 0.8043  4 In 2.96, 8 Ag 3.00-3.01
Ag 0.5000 0.0000 0.0950  8 Ag 2.91-3.00, 2 Ga 2.91, 2 In 3.01
Ag 0.5000 0.0000 0.2975  8 Ag 2.96-3.01, 4 In 3.00
Ag 0.5000 0.0000 0.5000  8 Ag 2.96-3.00, 4 In 3.01
Ag 0.5000 0.0000 0.7025  8 Ag 2.96-3.01, 4 In 3.00
Ag 0.5000 0.0000 0.9050  8 Ag 2.91-3.00, 2 Ga 2.91, 2 In 3.01
Ag 0.0000 0.5000 0.0950  2 Ga 2.91, 8 Ag 2.91-3.00, 2 In 3.01
Ag 0.0000 0.5000 0.2975  8 Ag 2.96-3.01, 4 In 3.00
Ag 0.0000 0.5000 0.5000  8 Ag 2.96-3.00, 4 In 3.01
Ag 0.0000 0.5000 0.7025  8 Ag 2.96-3.01, 4 In 3.00
Ag 0.0000 0.5000 0.9050  2 Ga 2.91, 8 Ag 2.91-3.00, 2 In 3.01

(6)
VASP calculation (GGA-PBE) on crystalline In2Ga5Ag3 at its relaxed geometry.

Output
Fermi-level density of states   0.35 states/eV per atom
Uncorrected energy   -2.8899 eV/atom
E_form   0.027 eV per atom
Mass density   7419 kg/m³

a = 5.6426 Å, b = 8.6936 Å, c = 8.6936 Å
α = 93.49°, β = 102.55°, γ = 102.55°
With the nearest neighbours (Å) after each atom.
Positions (direct):
In 0.8016 0.6121 0.1116  5 Ag 3.07-3.38, 5 Ga 3.11-3.39
In 0.3016 0.1116 0.6121  5 Ag 3.07-3.38, 5 Ga 3.11-3.39
In 0.1984 0.3879 0.8884  5 Ag 3.07-3.38, 5 Ga 3.11-3.39
In 0.6984 0.8884 0.3879  5 Ag 3.07-3.38, 5 Ga 3.11-3.39
Ga 0.6897 0.2552 0.9711  3 Ag 2.67-2.77, 3 Ga 2.76-2.98
Ga 0.1897 0.9711 0.2552  3 Ag 2.67-2.77, 3 Ga 2.76-2.98
Ga 0.3103 0.7448 0.0289  3 Ag 2.67-2.77, 3 Ga 2.76-2.98
Ga 0.8103 0.0289 0.7448  3 Ag 2.67-2.77, 3 Ga 2.76-2.98
Ga 0.0035 0.7587 0.7389  5 Ga 2.76-2.88, 3 Ag 2.79-2.90
Ga 0.9965 0.2413 0.2611  5 Ga 2.76-2.88, 3 Ag 2.79-2.90
Ga 0.7500 0.5394 0.4607  4 Ag 2.79, 4 Ga 2.88-2.99
Ga 0.2500 0.4606 0.5393  4 Ag 2.79, 4 Ga 2.88-2.99
Ga 0.4965 0.2611 0.2413  5 Ga 2.76-2.88, 3 Ag 2.79-2.90
Ga 0.5035 0.7389 0.7587  5 Ga 2.76-2.88, 3 Ag 2.79-2.90
Ag 0.6922 0.4672 0.7611  5 Ga 2.67-2.80, 1 Ag 2.99
Ag 0.1921 0.7611 0.4672  5 Ga 2.67-2.80, 1 Ag 2.99
Ag 0.3078 0.5328 0.2389  5 Ga 2.67-2.80, 1 Ag 2.99
Ag 0.8079 0.2389 0.5328  5 Ga 2.67-2.80, 1 Ag 2.99
Ag 0.2500 0.0425 0.9574  6 Ga 2.73-2.90, 2 Ag 3.02
Ag 0.7500 0.9575 0.0426  6 Ga 2.73-2.90, 2 Ag 3.02